Entry 1:
PrNd4Y8 | Alexandria via LeMat-Bulk | PBE-GGA | optimized geometry; symmetry = No. 221; calculated volume = 37.66 A^3/atom; ΔH_f (0 K) = 0.51 eV per atom
1.0
-1.622 -1.723 -10.895
7.600 -6.003 5.523
-4.618 0.030 6.387
Pr Nd Y
1 4 8
Direct
0.000 0.500 0.500
0.000 0.000 0.000
0.000 0.500 0.000
0.500 0.500 0.000
0.500 0.000 0.000
0.521 0.761 0.282
0.479 0.239 0.718
0.479 0.239 0.240
0.000 0.239 0.760
0.521 0.761 0.760
0.000 0.761 0.760
0.000 0.239 0.240
0.000 0.761 0.240

---

Entry 2:
BePdO2F | Alexandria via LeMat-Bulk | PBE-GGA | optimized geometry; symmetry = No. 123; total energy = -4.12 eV per atom; calculated volume = 12.60 A^3/atom
1.0
-3.328 -1.425 1.667
1.980 -0.651 3.398
-0.938 3.647 1.245
Be O Pd F
1 2 1 1
Direct
0.500 0.500 0.500
0.000 0.500 0.000
0.500 0.000 0.000
0.000 0.000 0.000
0.000 0.000 0.500

---

Entry 3:
CeSm2ScAs4 | Alexandria via LeMat-Bulk | PBE-GGA | optimized geometry; symmetry = No. 10; calculated volume = 24.98 A^3/atom; ΔH_f (0 K) = -1.44 eV per atom
1.0
4.141 0.000 0.000
0.000 7.136 0.122
0.000 -2.497 6.721
Ce Sm Sc As
1 2 1 4
Direct
0.500 0.500 0.000
0.500 0.000 0.500
0.000 0.500 0.500
0.000 0.000 0.000
0.500 0.238 0.235
0.500 0.762 0.765
0.000 0.245 0.759
0.000 0.755 0.241

---

Entry 4:
LaCd2BiH | Alexandria via LeMat-Bulk | PBE-GGA | optimized geometry; symmetry = No. 123; total energy = -3.12 eV per atom; calculated volume = 22.79 A^3/atom
1.0
4.849 0.000 0.000
0.000 4.849 0.000
0.000 0.000 4.846
H Cd Bi La
1 2 1 1
Direct
0.000 0.000 0.000
0.000 0.500 0.000
0.500 0.000 0.000
0.500 0.500 0.500
0.000 0.000 0.500

---

Entry 5:
LiPm2SmS4 | Alexandria via LeMat-Bulk | PBE-GGA | optimized geometry; symmetry = No. 10; total energy = -6.01 eV per atom; calculated volume = 22.39 A^3/atom
1.0
-1.770 -2.064 2.923
1.714 -5.903 -3.130
5.031 1.843 4.349
Li Pm Sm S
1 2 1 4
Direct
0.500 0.500 0.000
0.500 0.000 0.500
0.000 0.500 0.500
0.000 0.000 0.000
0.500 0.254 0.243
0.500 0.746 0.757
0.000 0.257 0.758
0.000 0.743 0.242

---

Entry 6:
Th3CoGe | Alexandria via LeMat-Bulk | PBE-GGA | optimized geometry; symmetry = No. 12; calculated volume = 25.37 A^3/atom; ΔH_f (0 K) = -0.43 eV per atom; energy above the lowest structure with this stoichiometry = 0.0 kJ per mole of atoms
1.0
-2.687 -1.117 -2.729
-2.390 -3.451 6.676
-4.640 6.679 1.826
Th Co Ge
6 2 2
Direct
0.060 0.154 0.410
0.412 0.856 0.665
0.632 0.298 0.756
0.984 0.000 0.011
0.271 0.576 0.018
0.773 0.578 0.404
0.227 0.487 0.627
0.817 0.667 0.794
0.417 0.865 0.278
0.627 0.289 0.144